Crystalline ZrMo2C at its relaxed geometry, computed with PBE.

a = 4.4312 Å, b = 4.4312 Å, c = 5.2741 Å
α = 64.58°, β = 64.58°, γ = 40.44°
Positions (direct):
Mo 0.7501 0.7501 0.8088
Mo 0.9484 0.9484 0.1060
Zr 0.5674 0.5674 0.4828
C 0.2341 0.2341 0.1024

Values from the calculation:
SG: Cm, No. 8
ΔE_f (kJ/mol of atoms): 14.4

Crystalline KSiAu3 at its relaxed geometry, computed with PBE.

a = 3.5043 Å, b = 5.8814 Å, c = 5.8814 Å
α = 107.42°, β = 90.00°, γ = 90.00°
Positions (direct):
Au 0.0000 0.1905 0.8095
K 0.0000 0.6586 0.3414
Si 0.5000 0.0109 0.9891
Au 0.5000 0.1812 0.4132
Au 0.5000 0.5868 0.8188

Values from the calculation:
SG: Amm2, No. 38
Formation energy without anion corrections (meV/atom): -250

Crystalline NdSm12Dy5 at its relaxed geometry, computed with PBE.

a = 15.2942 Å, b = 10.8170 Å, c = 5.1019 Å
α = 90.00°, β = 89.99°, γ = 45.01°
Positions (direct):
Sm 0.0009 0.6655 0.9999
Sm 0.9991 0.3345 0.0001
Sm 0.8330 0.0000 0.4998
Dy 0.8323 0.3354 0.5000
Nd 0.0000 0.0000 0.0000
Dy 0.3334 0.3332 0.0000
Sm 0.3336 0.6655 0.0001
Dy 0.1677 0.6646 0.5000
Sm 0.6664 0.3345 0.9999
Sm 0.6652 0.0000 0.9998
Dy 0.5000 0.0000 0.5000
Sm 0.4990 0.3329 0.4999
Sm 0.1681 0.3329 0.5001
Sm 0.3348 0.0000 0.0002
Sm 0.1670 0.0000 0.5002
Sm 0.5010 0.6671 0.5001
Dy 0.6666 0.6668 0.0000
Sm 0.8319 0.6671 0.4999

Values from the calculation:
SG: Cmmm, No. 65
ΔE_f (kJ/mol of atoms): 1.6

Crystalline KSr2Cl at its relaxed geometry, computed with PBE.

a = 7.5511 Å, b = 7.5511 Å, c = 7.5378 Å
α = 60.82°, β = 60.82°, γ = 31.32°
Positions (direct):
Cl 0.4359 0.4359 0.3789
K 0.2002 0.2002 0.3615
Sr 0.0282 0.0282 0.0156
Sr 0.8357 0.8357 0.7440

Values from the calculation:
SG: Cm, No. 8
Formation energy without anion corrections (meV/atom): -743

Crystalline PuGaCoTc at its relaxed geometry, computed with PBE.

a = 4.4670 Å, b = 4.4670 Å, c = 4.4670 Å
α = 60.00°, β = 60.00°, γ = 60.00°
Positions (direct):
Tc 0.5000 0.5000 0.5000
Pu 0.2500 0.2500 0.2500
Co 0.0000 0.0000 0.0000
Ga 0.7500 0.7500 0.7500

Values from the calculation:
SG: F-43m, No. 216
ΔE_f (kJ/mol of atoms): -13.7

Crystalline HoLuZnHg at its relaxed geometry, computed with PBE.

a = 5.1056 Å, b = 5.1056 Å, c = 5.1056 Å
α = 60.00°, β = 60.00°, γ = 60.00°
Positions (direct):
Lu 0.5000 0.5000 0.5000
Ho 0.0000 0.0000 0.0000
Hg 0.7500 0.7500 0.7500
Zn 0.2500 0.2500 0.2500

Values from the calculation:
SG: F-43m, No. 216
ΔE_f (kJ/mol of atoms): -38.4

Crystalline ErPu2Hg8 at its relaxed geometry, computed with PBE.

a = 5.2264 Å, b = 7.6048 Å, c = 8.4554 Å
α = 116.72°, β = 108.00°, γ = 90.00°
Positions (direct):
Hg 0.0000 0.7078 0.0000
Hg 0.0000 0.2922 0.0000
Hg 0.8467 0.8468 0.6934
Pu 0.7972 0.2972 0.5943
Pu 0.2028 0.7028 0.4057
Hg 0.3617 0.1603 0.7235
Hg 0.1533 0.1532 0.3066
Hg 0.3618 0.5632 0.7236
Er 0.5000 0.0000 0.0000
Hg 0.6382 0.4368 0.2764
Hg 0.6383 0.8397 0.2765

Values from the calculation:
SG: Immm, No. 71
ΔE_f (kJ/mol of atoms): -13.0

Crystalline SrTb4Ge4 at its relaxed geometry, computed with PBE.

a = 5.8032 Å, b = 9.6005 Å, c = 9.6005 Å
α = 90.00°, β = 90.00°, γ = 90.00°
Positions (direct):
Tb 0.8843 0.6186 0.8618
Tb 0.3843 0.3618 0.8814
Sr 0.0000 0.0000 0.0000
Sr 0.5000 0.5000 0.5000
Ge 0.3980 0.3322 0.1875
Tb 0.6157 0.8814 0.6382
Ge 0.8980 0.6875 0.1678
Tb 0.3843 0.6382 0.1186
Tb 0.1157 0.1382 0.6186
Tb 0.6157 0.1186 0.3618
Ge 0.8980 0.3125 0.8322
Tb 0.1157 0.8618 0.3814
Tb 0.8843 0.3814 0.1382
Ge 0.3980 0.6678 0.8125
Ge 0.1020 0.1678 0.3125
Ge 0.1020 0.8322 0.6875
Ge 0.6020 0.8125 0.3322
Ge 0.6020 0.1875 0.6678

Values from the calculation:
SG: P4_2/n, No. 86
ΔE_f (kJ/mol of atoms): -60.5

Crystalline LaScOs at its relaxed geometry, computed with PBE.

a = 4.6972 Å, b = 4.6972 Å, c = 3.4710 Å
α = 90.00°, β = 90.00°, γ = 120.00°
Positions (direct):
La 0.0000 0.0000 0.0206
Sc 0.6667 0.3333 0.5991
Os 0.3333 0.6667 0.3804

Values from the calculation:
SG: P3m1, No. 156
ΔE_f (kJ/mol of atoms): 3.8

Crystalline BaPrS2O8 at its relaxed geometry, computed with PBE.

a = 5.2882 Å, b = 5.2882 Å, c = 8.5059 Å
α = 90.00°, β = 90.00°, γ = 120.00°
Positions (direct):
S 0.3333 0.6667 0.7762
O 0.3333 0.6667 0.9510
O 0.6412 0.8195 0.7196
O 0.1805 0.8217 0.7196
O 0.6667 0.3333 0.0490
S 0.6667 0.3333 0.2238
O 0.8217 0.6412 0.2804
O 0.8195 0.1783 0.2804
Pr 0.0000 0.0000 0.5000
Ba 0.0000 0.0000 0.0000
O 0.1783 0.3588 0.7196
O 0.3588 0.1805 0.2804

Values from the calculation:
SG: P-3, No. 147
Formation energy without anion corrections (meV/atom): -2043

Crystalline SrReRh2 at its relaxed geometry, computed with PBE.

a = 9.6772 Å, b = 9.6772 Å, c = 9.6772 Å
α = 17.26°, β = 17.26°, γ = 17.26°
Positions (direct):
Rh 0.4896 0.4896 0.4896
Re 0.7500 0.7500 0.7500
Rh 0.0104 0.0104 0.0104
Sr 0.2500 0.2500 0.2500

Values from the calculation:
SG: R-3m, No. 166
ΔE_f (kJ/mol of atoms): 49.6

Crystalline TiCu2Ni at its relaxed geometry, computed with PBE.

a = 6.7802 Å, b = 6.7802 Å, c = 5.3694 Å
α = 50.85°, β = 50.85°, γ = 90.00°
Positions (direct):
Ni 0.7500 0.2500 0.5000
Cu 0.1005 0.6250 0.2500
Cu 0.3750 0.3505 0.7500
Ti 0.2500 0.7500 0.5000
Ni 0.0000 0.0000 0.0000
Ti 0.5000 0.5000 0.0000
Cu 0.8750 0.8995 0.7500
Cu 0.6495 0.1250 0.2500

Values from the calculation:
SG: I-42d, No. 122
ΔE_f (kJ/mol of atoms): 27.2

Crystalline NaNdGd at its relaxed geometry, computed with PBE.

a = 3.5707 Å, b = 3.5707 Å, c = 8.5592 Å
α = 102.04°, β = 102.04°, γ = 90.00°
Positions (direct):
Nd 0.6751 0.6751 0.3503
Gd 0.3254 0.3254 0.6509
Na 0.9994 0.9994 0.9989

Values from the calculation:
SG: I4mm, No. 107
ΔE_f (kJ/mol of atoms): 12.3

Crystalline TeSe at its relaxed geometry, computed with PBE.

a = 5.9995 Å, b = 5.9995 Å, c = 9.9977 Å
α = 67.49°, β = 67.49°, γ = 37.89°
Positions (direct):
Te 0.2963 0.2963 0.0736
Se 0.9744 0.9744 0.9784
Se 0.6450 0.6450 0.3094
Te 0.3208 0.3208 0.6561
Se 0.6394 0.6394 0.7483
Te 0.9575 0.9575 0.4009

Values from the calculation:
SG: Cm, No. 8
Formation energy without anion corrections (meV/atom): 105

Crystalline Sr3Er3ScTe8 at its relaxed geometry, computed with PBE.

a = 8.7883 Å, b = 8.7893 Å, c = 9.1539 Å
α = 118.69°, β = 90.00°, γ = 120.00°
Positions (direct):
Sr 0.0000 0.5000 0.0000
Sc 0.0000 0.0000 0.5000
Te 0.7428 0.4856 0.7287
Te 0.2392 0.9840 0.7229
Er 0.0000 0.5000 0.5000
Sr 0.0000 0.0000 0.0000
Er 0.5000 0.5000 0.5000
Te 0.7448 0.9840 0.7229
Te 0.7608 0.0160 0.2771
Te 0.2392 0.4783 0.7232
Te 0.2572 0.5144 0.2713
Er 0.5000 0.0000 0.5000
Te 0.7608 0.5217 0.2768
Sr 0.5000 0.5000 0.0000
Te 0.2552 0.0160 0.2771

Values from the calculation:
SG: R-3m, No. 166
Formation energy without anion corrections (meV/atom): -1461

Crystalline Ca2TaRe at its relaxed geometry, computed with PBE.

a = 4.5639 Å, b = 4.5639 Å, c = 7.7054 Å
α = 85.70°, β = 85.70°, γ = 41.29°
Positions (direct):
Ca 0.7682 0.7682 0.6816
Ca 0.9890 0.9890 0.0624
Ta 0.2331 0.2331 0.3197
Re 0.5097 0.5097 0.4363

Values from the calculation:
SG: Cm, No. 8
ΔE_f (kJ/mol of atoms): 49.0

Crystalline Sc3NbSb at its relaxed geometry, computed with PBE.

a = 5.0792 Å, b = 5.0792 Å, c = 5.0792 Å
α = 90.00°, β = 90.00°, γ = 90.00°
Positions (direct):
Sc 0.5000 0.0000 0.0000
Sb 0.5000 0.5000 0.5000
Nb 0.0000 0.0000 0.0000
Sc 0.0000 0.0000 0.5000
Sc 0.0000 0.5000 0.0000

Values from the calculation:
SG: Pm-3m, No. 221
Formation energy without anion corrections (meV/atom): 414

Crystalline HgWSe at its relaxed geometry, computed with PBE.

a = 8.5314 Å, b = 8.2743 Å, c = 3.0439 Å
α = 84.37°, β = 74.84°, γ = 20.80°
Positions (direct):
W 0.3204 0.3204 0.6796
Hg 0.9763 0.9763 0.0237
Se 0.7033 0.7033 0.2967

Values from the calculation:
SG: Fmm2, No. 42
Formation energy without anion corrections (meV/atom): 549

Crystalline Mg2Cd3In3 at its relaxed geometry, computed with PBE.

a = 4.5608 Å, b = 4.5673 Å, c = 8.9791 Å
α = 90.00°, β = 90.00°, γ = 90.00°
Positions (direct):
Mg 0.0000 0.0000 0.2450
In 0.0000 0.5000 0.0000
Cd 0.5000 0.0000 0.0000
Mg 0.0000 0.0000 0.7550
In 0.0000 0.5000 0.5000
Cd 0.5000 0.5000 0.2438
In 0.5000 0.0000 0.5000
Cd 0.5000 0.5000 0.7562

Values from the calculation:
SG: Pmmm, No. 47
ΔE_f (kJ/mol of atoms): -3.5

Crystalline La3InNi at its relaxed geometry, computed with PBE.

a = 5.3443 Å, b = 6.5915 Å, c = 9.6848 Å
α = 75.44°, β = 73.98°, γ = 66.08°
Positions (direct):
La 0.8718 0.9829 0.2736
Ni 0.8974 0.2271 0.9780
In 0.5785 0.2669 0.5761
La 0.6236 0.6927 0.0601
In 0.4215 0.7331 0.4239
La 0.1282 0.0171 0.7264
La 0.3764 0.3073 0.9399
La 0.1440 0.3787 0.3334
Ni 0.1026 0.7729 0.0220
La 0.8560 0.6213 0.6666

Values from the calculation:
SG: C2/m, No. 12
ΔE_f (kJ/mol of atoms): -31.6